1.
Here is Nd15Tm4In after structural relaxation from the Alexandria database. Energies are from GGA-PBE.

Summary:
ΔH_f (0 K): -0.039 eV/atom
VASP energy: -4.65 eV per atom

Unit cell a=5.0984 b=5.0984 c=25.6463 alpha=90.00 beta=90.00 gamma=90.00
Last column: nearest neighbours and their distance in Å.
Fractional positions:
Nd (0.5000, 0.5000, 0.0000)  8 Nd 3.56, 4 In 3.61
Nd (0.5000, 0.5000, 0.1978)  4 Tm 3.61, 8 Nd 3.63
Nd (0.5000, 0.5000, 0.3992)  4 Tm 3.61, 8 Nd 3.62-3.63
Nd (0.5000, 0.5000, 0.6008)  4 Tm 3.61, 8 Nd 3.62-3.63
Nd (0.5000, 0.5000, 0.8022)  4 Tm 3.61, 8 Nd 3.63
Nd (0.5000, 0.0000, 0.0971)  2 In 3.56, 8 Nd 3.56-3.63, 2 Tm 3.64
Nd (0.5000, 0.0000, 0.2988)  8 Nd 3.61-3.63, 4 Tm 3.62-3.63
Nd (0.5000, 0.0000, 0.5000)  8 Nd 3.61-3.63, 4 Tm 3.62
Nd (0.5000, 0.0000, 0.7012)  8 Nd 3.61-3.63, 4 Tm 3.62-3.63
Nd (0.5000, 0.0000, 0.9029)  2 In 3.56, 8 Nd 3.56-3.63, 2 Tm 3.64
Nd (0.0000, 0.5000, 0.0971)  8 Nd 3.56-3.63, 2 In 3.56, 2 Tm 3.64
Nd (0.0000, 0.5000, 0.2988)  8 Nd 3.61-3.63, 4 Tm 3.62-3.63
Nd (0.0000, 0.5000, 0.5000)  8 Nd 3.61-3.63, 4 Tm 3.62
Nd (0.0000, 0.5000, 0.7012)  8 Nd 3.61-3.63, 4 Tm 3.62-3.63
Nd (0.0000, 0.5000, 0.9029)  8 Nd 3.56-3.63, 2 In 3.56, 2 Tm 3.64
Tm (0.0000, 0.0000, 0.1985)  12 Nd 3.61-3.64
Tm (0.0000, 0.0000, 0.3996)  12 Nd 3.61-3.63
Tm (0.0000, 0.0000, 0.6004)  12 Nd 3.61-3.63
Tm (0.0000, 0.0000, 0.8015)  12 Nd 3.61-3.64
In (0.0000, 0.0000, 0.0000)  12 Nd 3.56-3.61

---

2.
Here is BaCuAg3 after structural relaxation from the Alexandria database. Energies are from GGA-PBE.

Summary:
ΔH_f (0 K): 1.318 eV/atom
VASP energy: -1.60 eV per atom

Unit cell a=6.1342 b=6.1342 c=6.1342 alpha=90.00 beta=90.00 gamma=90.00
Last column: nearest neighbours and their distance in Å.
Fractional positions:
Cu (0.5000, 0.5000, 0.5000)  12 Ag 4.34
Ba (0.0000, 0.0000, 0.0000)  6 Ag 3.07
Ag (0.0000, 0.5000, 0.0000)  2 Ba 3.07
Ag (0.0000, 0.0000, 0.5000)  2 Ba 3.07
Ag (0.5000, 0.0000, 0.0000)  2 Ba 3.07

---

3.
Here is Sm2BeAl3Au4 after structural relaxation from the Alexandria database. Energies are from GGA-PBE.

Summary:
ΔH_f (0 K): -0.643 eV/atom
VASP energy: -4.39 eV per atom

Unit cell a=4.3662 b=4.3662 c=10.2944 alpha=90.00 beta=90.00 gamma=90.00
Last column: nearest neighbours and their distance in Å.
Fractional positions:
Sm (0.5000, 0.0000, 0.2587)  2 Be 3.31, 6 Al 3.31-3.34, 8 Au 3.32-3.44
Sm (0.0000, 0.5000, 0.7413)  2 Be 3.31, 6 Al 3.31-3.34, 8 Au 3.32-3.44
Be (0.5000, 0.5000, 0.5000)  4 Au 2.52
Al (0.0000, 0.0000, 0.5000)  4 Au 2.52
Al (0.5000, 0.0000, 0.8640)  5 Au 2.49-2.59
Al (0.0000, 0.5000, 0.1360)  5 Au 2.49-2.59
Au (0.5000, 0.5000, 0.0000)  4 Al 2.59
Au (0.0000, 0.0000, 0.0000)  4 Al 2.59
Au (0.5000, 0.0000, 0.6218)  3 Al 2.49-2.52, 2 Be 2.52
Au (0.0000, 0.5000, 0.3782)  3 Al 2.49-2.52, 2 Be 2.52

---

Number 1: Fermi-level density of states 26.9 states/eV per cell. Number 2: Fermi-level density of states 1.9 states/eV per cell. Number 3: Fermi-level density of states 5.8 states/eV per cell.